Record 1
This record from the Alexandria database describes a geometry-optimized Ta2MnIr structure. The functional is PBE.

Its volume is 61 Å³/f.u. The calculation puts the formation energy at -0.3164 eV per atom. The value obtained for the density is 16.47 g cm⁻³.

The space group is P4/mmm (No. 123) and the conventional cell measures 2.992, 2.992 and 6.859 Å, with angles of 90.00, 90.00 and 90.00 degrees. Symmetry generates all atoms from Ta at (0.000, 0.000, 0.228), Mn at (0.500, 0.500, 0.000) and Ir at (0.500, 0.500, 0.500).



Record 2
This record from the Alexandria database describes a geometry-optimized TaMnIr2 structure. The functional is PBE.

Its volume is 60 Å³/f.u. The calculation puts the formation energy at -0.2290 eV per atom. The value obtained for the density is 17.23 g cm⁻³.

The space group is C2/m (No. 12) and the conventional cell measures 9.026, 2.799 and 4.807 Å, with angles of 90.00, 100.04 and 90.00 degrees. Symmetry generates all atoms from Ta at (0.000, 0.000, 0.000), Mn at (0.000, 0.500, 0.500) and Ir at (0.248, 0.000, 0.737).



Record 3
This record from the Alexandria database describes a geometry-optimized TaMn3Ir structure. The functional is PBE.

Its volume is 85 Å³/f.u. The calculation puts the formation energy at 1.5507 eV per atom. The value obtained for the density is 10.54 g cm⁻³. The distance to the lowest polymorph of the same formula comes out at 0.0 kJ/mol of atoms.

The space group is Pm-3m (No. 221) and the conventional cell measures 4.392, 4.392 and 4.392 Å, with angles of 90.00, 90.00 and 90.00 degrees. Symmetry generates all atoms from Ta at (0.000, 0.000, 0.000), Mn at (0.000, 0.500, 0.500) and Ir at (0.500, 0.500, 0.500).



Record 4
This record from the Alexandria database describes a geometry-optimized Ta2MnIr structure. The functional is PBE.

Its volume is 63 Å³/f.u. The calculation puts the formation energy at 0.0027 eV per atom. The value obtained for the density is 15.95 g cm⁻³.

The space group is R-3m (No. 166, hexagonal axes) and the conventional cell measures 2.9739, 2.9739 and 24.8417 Å, with angles of 90.00, 90.00 and 120.00 degrees. Symmetry generates all atoms from Ta at (0.0000, 0.0000, 0.2444), Mn at (0.0000, 0.0000, 0.5000) and Ir at (0.0000, 0.0000, 0.0000).



Record 5
This record from the Alexandria database describes a geometry-optimized TaMnIr2 structure. The functional is PBE.

Its volume is 60 Å³/f.u. The calculation puts the formation energy at -0.0212 eV per atom. The value obtained for the density is 17.07 g cm⁻³.

The space group is R3m (No. 160, hexagonal axes) and the conventional cell measures 2.8060, 2.8060 and 26.5535 Å, with angles of 90.00, 90.00 and 120.00 degrees. Symmetry generates all atoms from Ta at (0.0000, 0.0000, 0.0000), Mn at (0.0000, 0.0000, 0.2472), Ir at (0.0000, 0.0000, 0.5051) and Ir at (0.0000, 0.0000, 0.7510).



Record 6
This record from the Alexandria database describes a geometry-optimized TaMnIr structure. The functional is PBE.

Its volume is 46 Å³/f.u. The calculation puts the formation energy at -0.2748 eV per atom. The value obtained for the density is 15.41 g cm⁻³. The distance to the lowest polymorph of the same formula comes out at 0.0 kJ/mol of atoms.

The space group is I4mm (No. 107) and the conventional cell measures 3.199, 3.199 and 9.015 Å, with angles of 90.00, 90.00 and 90.00 degrees. Symmetry generates all atoms from Ta at (0.000, 0.000, 0.000), Mn at (0.000, 0.000, 0.665) and Ir at (0.000, 0.000, 0.334).



Record 7
This record from the Alexandria database describes a geometry-optimized Ta3MnIr structure. The functional is PBE.

Its volume is 111 Å³/f.u. The calculation puts the formation energy at 1.5678 eV per atom. The value obtained for the density is 11.81 g cm⁻³. The distance to the lowest polymorph of the same formula comes out at 74.4 kJ/mol of atoms.

The space group is Pm-3m (No. 221) and the conventional cell measures 4.807, 4.807 and 4.807 Å, with angles of 90.00, 90.00 and 90.00 degrees. Symmetry generates all atoms from Ta at (0.000, 0.000, 0.500), Mn at (0.500, 0.500, 0.500) and Ir at (0.000, 0.000, 0.000).



Record 8
This record from the Alexandria database describes a geometry-optimized Ta2MnIr structure. The functional is PBE.

Its volume is 63 Å³/f.u. The calculation puts the formation energy at -0.2090 eV per atom. The value obtained for the density is 15.98 g cm⁻³.

The space group is I-4m2 (No. 119) and the conventional cell measures 3.814, 3.814 and 8.703 Å, with angles of 90.00, 90.00 and 90.00 degrees. Symmetry generates all atoms from Ta at (0.000, 0.000, 0.000), Ta at (0.000, 0.500, 0.250), Mn at (0.000, 0.000, 0.500) and Ir at (0.000, 0.500, 0.750).



Record 9
This record from the Alexandria database describes a geometry-optimized TaMn2Ir structure. The functional is PBE.

Its volume is 57 Å³/f.u. The calculation puts the formation energy at -0.1619 eV per atom. The value obtained for the density is 14.12 g cm⁻³. The distance to the lowest polymorph of the same formula comes out at 5.5 kJ/mol of atoms.

The space group is Fm-3m (No. 225) and the conventional cell measures 6.102, 6.102 and 6.102 Å, with angles of 90.00, 90.00 and 90.00 degrees. Symmetry generates all atoms from Ta at (0.000, 0.000, 0.000), Mn at (0.250, 0.250, 0.250) and Ir at (0.000, 0.000, 0.500).



Record 10
This record from the Alexandria database describes a geometry-optimized TaMnIr2 structure. The functional is PBE.

Its volume is 61 Å³/f.u. The calculation puts the formation energy at -0.1610 eV per atom. The value obtained for the density is 16.96 g cm⁻³.

The space group is P4mm (No. 99) and the conventional cell measures 3.290, 3.290 and 5.612 Å, with angles of 90.00, 90.00 and 90.00 degrees. Symmetry generates all atoms from Ta at (0.000, 0.000, 0.000), Mn at (0.500, 0.500, 0.719), Ir at (0.000, 0.000, 0.532) and Ir at (0.500, 0.500, 0.239).



Record 11
This record from the Alexandria database describes a geometry-optimized TaMnIr2 structure. The functional is PBE.

Its volume is 61 Å³/f.u. The calculation puts the formation energy at -0.4198 eV per atom. The value obtained for the density is 16.91 g cm⁻³.

The space group is P2/m (No. 10) and the conventional cell measures 2.915, 3.620 and 5.772 Å, with angles of 90.00, 90.12 and 90.00 degrees. Symmetry generates all atoms from Ta at (0.000, 0.000, 0.000), Mn at (0.000, 0.000, 0.500) and Ir at (0.500, 0.500, 0.258).



Record 12
This record from the Alexandria database describes a geometry-optimized TaMnIr2 structure. The functional is PBE.

Its volume is 59 Å³/f.u. The calculation puts the formation energy at -0.4146 eV per atom. The value obtained for the density is 17.35 g cm⁻³.

The space group is I-4m2 (No. 119) and the conventional cell measures 3.849, 3.849 and 8.015 Å, with angles of 90.00, 90.00 and 90.00 degrees. Symmetry generates all atoms from Ta at (0.000, 0.000, 0.000), Mn at (0.000, 0.500, 0.750), Ir at (0.000, 0.000, 0.500) and Ir at (0.000, 0.500, 0.250).



Record 13
This record from the Alexandria database describes a geometry-optimized TaMnIr structure. The functional is PBE.

Its volume is 47 Å³/f.u. The calculation puts the formation energy at 0.0968 eV per atom. The value obtained for the density is 15.11 g cm⁻³. The distance to the lowest polymorph of the same formula comes out at 35.8 kJ/mol of atoms.

The space group is P6_222 (No. 180) and the conventional cell measures 5.4763, 5.4763 and 10.8682 Å, with angles of 90.00, 90.00 and 120.00 degrees. Symmetry generates all atoms from Ta at (0.0000, 0.0000, 0.0000), Ta at (0.0000, 0.5000, 0.1667), Mn at (0.2131, 0.6065, 0.6667) and Ir at (0.0000, 0.5000, 0.4520).



Record 14
This record from the Alexandria database describes a geometry-optimized Ta2MnIr structure. The functional is PBE.

Its volume is 70 Å³/f.u. The calculation puts the formation energy at 0.4593 eV per atom. The value obtained for the density is 14.47 g cm⁻³.

The space group is I-42d (No. 122) and the conventional cell measures 3.867, 3.867 and 18.699 Å, with angles of 90.00, 90.00 and 90.00 degrees. Symmetry generates all atoms from Ta at (0.248, 0.250, 0.125), Mn at (0.000, 0.000, 0.000) and Ir at (0.000, 0.000, 0.500).



Record 15
This record from the Alexandria database describes a geometry-optimized TaMn2Ir2 structure. The functional is PBE.

Its volume is 70 Å³/f.u. The calculation puts the formation energy at -0.1733 eV per atom. The value obtained for the density is 16.09 g cm⁻³. The distance to the lowest polymorph of the same formula comes out at 0.0 kJ/mol of atoms.

The space group is P4/mbm (No. 127) and the conventional cell measures 7.157, 7.157 and 2.721 Å, with angles of 90.00, 90.00 and 90.00 degrees. Symmetry generates all atoms from Ta at (0.000, 0.000, 0.000), Mn at (0.117, 0.383, 0.000) and Ir at (0.177, 0.677, 0.500).



Record 16
This record from the Alexandria database describes a geometry-optimized Ta2MnIr structure. The functional is PBE.

Its volume is 65 Å³/f.u. The calculation puts the formation energy at 0.0406 eV per atom. The value obtained for the density is 15.49 g cm⁻³.

The space group is R3m (No. 160, hexagonal axes) and the conventional cell measures 2.8956, 2.8956 and 26.9671 Å, with angles of 90.00, 90.00 and 120.00 degrees. Symmetry generates all atoms from Ta at (0.0000, 0.0000, 0.0000), Ta at (0.0000, 0.0000, 0.2398), Mn at (0.0000, 0.0000, 0.4923) and Ir at (0.0000, 0.0000, 0.7474).



Record 17
This record from the Alexandria database describes a geometry-optimized TaMnIr2 structure. The functional is PBE.

Its volume is 66 Å³/f.u. The calculation puts the formation energy at 0.2316 eV per atom. The value obtained for the density is 15.63 g cm⁻³.

The space group is I-42d (No. 122) and the conventional cell measures 3.894, 3.894 and 17.379 Å, with angles of 90.00, 90.00 and 90.00 degrees. Symmetry generates all atoms from Ta at (0.000, 0.000, 0.000), Mn at (0.000, 0.000, 0.500) and Ir at (0.224, 0.250, 0.625).



Record 18
This record from the Alexandria database describes a geometry-optimized TaMn2Ir structure. The functional is PBE.

Its volume is 58 Å³/f.u. The calculation puts the formation energy at 0.1282 eV per atom. The value obtained for the density is 13.77 g cm⁻³. The distance to the lowest polymorph of the same formula comes out at 33.5 kJ/mol of atoms.

The space group is R3m (No. 160, hexagonal axes) and the conventional cell measures 2.7877, 2.7877 and 25.9729 Å, with angles of 90.00, 90.00 and 120.00 degrees. Symmetry generates all atoms from Ta at (0.0000, 0.0000, 0.0000), Mn at (0.0000, 0.0000, 0.2452), Mn at (0.0000, 0.0000, 0.5021) and Ir at (0.0000, 0.0000, 0.7559).



Record 19
This record from the Alexandria database describes a geometry-optimized TaMn3Ir structure. The functional is PBE.

Its volume is 83 Å³/f.u. The calculation puts the formation energy at 1.9764 eV per atom. The value obtained for the density is 10.79 g cm⁻³. The distance to the lowest polymorph of the same formula comes out at 41.1 kJ/mol of atoms.

The space group is Pm-3m (No. 221) and the conventional cell measures 4.358, 4.358 and 4.358 Å, with angles of 90.00, 90.00 and 90.00 degrees. Symmetry generates all atoms from Ta at (0.000, 0.000, 0.000), Mn at (0.000, 0.000, 0.500) and Ir at (0.500, 0.500, 0.500).



Record 20
This record from the Alexandria database describes a geometry-optimized Ta3MnIr structure. The functional is PBE.

Its volume is 91 Å³/f.u. The calculation puts the formation energy at 0.7965 eV per atom. The value obtained for the density is 14.36 g cm⁻³. The distance to the lowest polymorph of the same formula comes out at 0.0 kJ/mol of atoms.

The space group is Pm-3m (No. 221) and the conventional cell measures 4.503, 4.503 and 4.503 Å, with angles of 90.00, 90.00 and 90.00 degrees. Symmetry generates all atoms from Ta at (0.000, 0.000, 0.500), Mn at (0.000, 0.000, 0.000) and Ir at (0.500, 0.500, 0.500).



no.,uncorrected energy (eV/atom)
1,-10.7504
2,-9.9150
3,-8.0937
4,-10.4313
5,-9.7073
6,-10.2358
7,-9.1499
8,-10.6429
9,-9.9251
10,-9.8470
11,-10.1058
12,-10.1006
13,-9.8643
14,-9.9746
15,-9.7560
16,-10.3933
17,-9.4544
18,-9.6350
19,-7.6681
20,-9.9212